No. 1
# Mg2MnTlBr8 PBE optimized geometry
# theoretical density = 4.43 Mg/m³
# magnetic moment = 4.70 μB per cell
# formation energy from raw total energies = -1.00 eV per atom
data_Mg2MnTlBr8
_chemical_formula_sum 'Mg2 Mn1 Tl1 Br8'
_space_group_name_H-M_alt 'P 1 2/m 1'
_space_group_IT_number 10
_cell_length_a 6.417
_cell_length_b 8.169
_cell_length_c 6.775
_cell_angle_alpha 90.00
_cell_angle_beta 90.84
_cell_angle_gamma 90.00
loop_
_space_group_symop_operation_xyz
'x,y,z'
'-x,-y,-z'
'-x,y,-z'
'x,-y,z'
loop_
_atom_site_label
_atom_site_type_symbol
_atom_site_fract_x
_atom_site_fract_y
_atom_site_fract_z
Mg1 Mg 0.000 0.240 0.000
Mn1 Mn 0.500 0.000 0.500
Tl1 Tl 0.500 0.500 0.500
Br1 Br 0.210 0.500 0.853
Br2 Br 0.228 0.000 0.837
Br3 Br 0.261 0.223 0.331

No. 2
# Na3CrW PBE optimized geometry
# E above lowest polymorph = 0 meV per atom
# theoretical density = 2.53 Mg/m³
# magnetic moment = 0.04 μB per cell
# formation enthalpy at 0 K = 44.68 kcal/mol of atoms
data_Na3CrW
_chemical_formula_sum 'Na3 Cr1 W1'
_space_group_name_H-M_alt 'P m -3 m'
_space_group_IT_number 221
_space_group_name_Hall '-P 4 2 3'
_cell_length_a 5.847
_cell_length_b 5.847
_cell_length_c 5.847
_cell_angle_alpha 90.00
_cell_angle_beta 90.00
_cell_angle_gamma 90.00
loop_
_atom_site_label
_atom_site_type_symbol
_atom_site_fract_x
_atom_site_fract_y
_atom_site_fract_z
Na1 Na 0.000 0.000 0.500
Cr1 Cr 0.500 0.500 0.500
W1 W 0.000 0.000 0.000

No. 3
# MgInRuC2 PBE optimized geometry
# theoretical density = 5.18 Mg/m³
# magnetic moment = 0.00 μB per cell
# formation enthalpy at 0 K = 27.31 kcal/mol of atoms
data_MgInRuC2
_chemical_formula_sum 'Mg1 In1 Ru1 C2'
_space_group_name_H-M_alt 'P 4/m m m'
_space_group_IT_number 123
_space_group_name_Hall '-P 4 2'
_cell_length_a 3.992
_cell_length_b 3.992
_cell_length_c 5.319
_cell_angle_alpha 90.00
_cell_angle_beta 90.00
_cell_angle_gamma 90.00
loop_
_atom_site_label
_atom_site_type_symbol
_atom_site_fract_x
_atom_site_fract_y
_atom_site_fract_z
Mg1 Mg 0.000 0.000 0.000
In1 In 0.500 0.500 0.000
Ru1 Ru 0.000 0.000 0.500
C1 C 0.000 0.500 0.500

No. 4
# Ca2GaF PBE optimized geometry
# E above lowest polymorph = 0 meV per atom
# theoretical density = 2.88 Mg/m³
# magnetic moment = 0.00 μB per cell
# formation energy from raw total energies = -1.48 eV per atom
data_Ca2GaF
_chemical_formula_sum 'Ca8 Ga4 F4'
_space_group_name_H-M_alt 'I -4 2 d'
_space_group_IT_number 122
_space_group_name_Hall 'I -4 2bw'
_cell_length_a 7.024
_cell_length_b 7.024
_cell_length_c 7.907
_cell_angle_alpha 90.00
_cell_angle_beta 90.00
_cell_angle_gamma 90.00
loop_
_atom_site_label
_atom_site_type_symbol
_atom_site_fract_x
_atom_site_fract_y
_atom_site_fract_z
Ca1 Ca 0.170 0.250 0.125
Ga1 Ga 0.000 0.000 0.500
F1 F 0.000 0.000 0.000

No. 5
# NaLi2AgF4 PBE optimized geometry
# theoretical density = 3.83 Mg/m³
# magnetic moment = 0.00 μB per cell
# formation energy from raw total energies = -2.32 eV per atom
data_NaLi2AgF4
_chemical_formula_sum 'Na4 Li8 Ag4 F16'
_space_group_name_H-M_alt 'C m c m'
_space_group_IT_number 63
_space_group_name_Hall '-C 2c 2'
_cell_length_a 2.953
_cell_length_b 14.787
_cell_length_c 8.758
_cell_angle_alpha 90.00
_cell_angle_beta 90.00
_cell_angle_gamma 90.00
loop_
_atom_site_label
_atom_site_type_symbol
_atom_site_fract_x
_atom_site_fract_y
_atom_site_fract_z
Na1 Na 0.000 0.246 0.250
Li1 Li 0.000 0.115 0.531
Ag1 Ag 0.000 0.462 0.750
F1 F 0.000 0.130 0.750
F2 F 0.000 0.329 0.579
F3 F 0.000 0.500 0.000

No. 6
# RbMg3Hg PBE optimized geometry
# E above lowest polymorph = 0 meV per atom
# theoretical density = 3.62 Mg/m³
# magnetic moment = 0.00 μB per cell
# formation enthalpy at 0 K = 1.77 kcal/mol of atoms
data_RbMg3Hg
_chemical_formula_sum 'Rb1 Mg3 Hg1'
_space_group_name_H-M_alt 'P m -3 m'
_space_group_IT_number 221
_space_group_name_Hall '-P 4 2 3'
_cell_length_a 5.481
_cell_length_b 5.481
_cell_length_c 5.481
_cell_angle_alpha 90.00
_cell_angle_beta 90.00
_cell_angle_gamma 90.00
loop_
_atom_site_label
_atom_site_type_symbol
_atom_site_fract_x
_atom_site_fract_y
_atom_site_fract_z
Rb1 Rb 0.000 0.000 0.000
Mg1 Mg 0.000 0.500 0.500
Hg1 Hg 0.500 0.500 0.500

Q: Which of these has the lowest theoretical density?
A: Na3CrW